# 1
First-principles (PBE-GGA) data for crystalline Ba4P2Au at its relaxed geometry, as listed in Alexandria.

a b c (Å): 9.426 9.536 13.335
angles (deg): 90.00 90.00 90.00
Space group Imma (No. 74)
Symmetry-distinct sites (fractional):
Ba 0.000 0.025 0.240 [8 per cell]
Ba 0.232 0.250 0.010 [8 per cell]
P 0.000 0.000 0.000 [4 per cell]
P 0.250 0.250 0.250 [4 per cell]
Au 0.000 0.000 0.500 [4 per cell]

The density of states at the Fermi level is 0.2989 states/eV/atom. The calculation puts the total magnetization at 2.47 Bohr magnetons per cell. As for the volume: 42.81 Å³ per atom. The value obtained for the formation energy from the elements is -6.1 eV/f.u.

---

# 2
First-principles (PBE-GGA) data for crystalline BeBIr2 at its relaxed geometry, as listed in Alexandria.

a b c (Å): 3.899 3.899 2.782
angles (deg): 90.00 90.00 90.00
Space group P4/mmm (No. 123)
Symmetry-distinct sites (fractional):
Be 0.000 0.000 0.000 [1 per cell]
B 0.500 0.500 0.000 [1 per cell]
Ir 0.000 0.500 0.500 [2 per cell]

The density of states at the Fermi level is 0.2454 states/eV/atom. The calculation puts the total magnetization at 0.00 Bohr magnetons per cell. As for the volume: 10.57 Å³ per atom. The value obtained for the formation energy from the elements is -1.2 eV/f.u.

---

Question: What is the volume in the first record?
Answer: 42.81 Å³ per atom

---

Question: Which of these has the highest total magnetization?
Answer: Ba4P2Au

---

Repeat the first record exactly.
First-principles (PBE-GGA) data for crystalline Ba4P2Au at its relaxed geometry, as listed in Alexandria.

a b c (Å): 9.426 9.536 13.335
angles (deg): 90.00 90.00 90.00
Space group Imma (No. 74)
Symmetry-distinct sites (fractional):
Ba 0.000 0.025 0.240 [8 per cell]
Ba 0.232 0.250 0.010 [8 per cell]
P 0.000 0.000 0.000 [4 per cell]
P 0.250 0.250 0.250 [4 per cell]
Au 0.000 0.000 0.500 [4 per cell]

The density of states at the Fermi level is 0.2989 states/eV/atom. The calculation puts the total magnetization at 2.47 Bohr magnetons per cell. As for the volume: 42.81 Å³ per atom. The value obtained for the formation energy from the elements is -6.1 eV/f.u.